Ac3Mg4Rh4 | PBE | relaxed

Cell: 4.181 8.088 8.787 Å, 117.40 103.76 90.00°
Element x y z (fractional)
Ac 0.117 0.117 0.234
Ac 0.883 0.883 0.766
Ac 0.000 0.500 0.000
Mg 0.324 0.137 0.648
Mg 0.676 0.489 0.352
Mg 0.676 0.863 0.352
Mg 0.324 0.511 0.648
Rh 0.231 0.731 0.463
Rh 0.769 0.269 0.537
Rh 0.500 0.802 0.000
Rh 0.500 0.198 0.000

Results
symmetry	Immm (71)
raw total energy	-4.904	eV per atom